This record from Alexandria via LeMat-Bulk describes crystalline KUBr6 at its relaxed geometry. The functional is PBE-GGA.

Cell and atoms, written as POSCAR:
```
KUBr6
1.0
-6.868 1.103 2.292
0.767 0.016 -7.283
0.325 -7.229 1.080
Br U K
6 1 1
direct
0.480 0.169 0.264
0.249 0.249 0.685
0.169 0.480 0.264
0.751 0.751 0.315
0.520 0.831 0.736
0.831 0.520 0.736
0.500 0.500 0.500
0.000 0.000 0.000
```

Symmetry: No. 12
E_form (uncorrected), meV per atom: -1388


This record from Alexandria via LeMat-Bulk describes crystalline Pr4BiSb2As at its relaxed geometry. The functional is PBE-GGA.

Cell and atoms, written as POSCAR:
```
Pr4BiSb2As
1.0
-3.698 2.586 0.089
-3.587 -5.284 4.512
1.349 1.671 7.542
Pr Bi Sb As
4 1 2 1
direct
0.000 0.252 0.259
0.000 0.748 0.741
0.500 0.259 0.738
0.500 0.741 0.262
0.500 0.500 0.000
0.000 0.000 0.000
0.500 0.000 0.500
0.000 0.500 0.500
```

Symmetry: No. 10
E_form (uncorrected), meV per atom: -1186


This record from Alexandria via LeMat-Bulk describes crystalline Er3MgTe at its relaxed geometry. The functional is PBE-GGA.

Cell and atoms, written as POSCAR:
```
Er3MgTe
1.0
3.934 -0.001 -0.002
0.002 8.540 -0.374
0.006 2.604 8.466
Mg Er Te
2 6 2
direct
0.863 0.324 0.214
0.363 0.688 0.712
0.363 0.010 0.216
0.363 0.349 0.513
0.863 0.798 0.963
0.863 0.370 0.827
0.863 0.023 0.555
0.863 0.685 0.438
0.363 0.617 0.199
0.363 0.078 0.828
```

Symmetry: No. 6
E_form (uncorrected), meV per atom: -394


This record from Alexandria via LeMat-Bulk describes crystalline YTe2 at its relaxed geometry. The functional is PBE-GGA.

Cell and atoms, written as POSCAR:
```
YTe2
1.0
-1.961 1.961 12.558
1.961 -1.961 12.558
1.961 1.961 -12.558
Te Y
4 2
direct
0.434 0.434 0.000
0.566 0.566 0.000
0.184 0.684 0.500
0.316 0.816 0.500
0.750 0.250 0.500
0.000 0.000 0.000
```

Symmetry: No. 141
E_form (uncorrected), meV per atom: -995


This record from Alexandria via LeMat-Bulk describes crystalline Cs3YAl2O6 at its relaxed geometry. The functional is PBE-GGA.

Cell and atoms, written as POSCAR:
```
Cs3YAl2O6
1.0
-4.301 -1.407 -4.214
5.347 -3.103 0.115
-3.089 -5.142 4.870
O Al Y Cs
6 2 1 3
direct
0.173 0.346 0.319
0.827 0.654 0.681
0.654 0.827 0.319
0.346 0.173 0.681
0.173 0.827 0.319
0.827 0.173 0.681
0.333 0.667 0.323
0.667 0.333 0.677
0.000 0.000 0.500
0.333 0.667 0.762
0.000 0.000 0.000
0.667 0.333 0.238
```

Symmetry: No. 164
E_form (uncorrected), meV per atom: -2359


This record from Alexandria via LeMat-Bulk describes crystalline TlCd3Ag at its relaxed geometry. The functional is PBE-GGA.

Cell and atoms, written as POSCAR:
```
TlCd3Ag
1.0
5.308 0.000 0.000
0.000 5.308 0.000
0.000 0.000 5.308
Cd Tl Ag
3 1 1
direct
0.000 0.500 0.000
0.000 0.000 0.500
0.500 0.000 0.000
0.500 0.500 0.500
0.000 0.000 0.000
```

Polymorph energy (0 for the lowest one), meV/atom: 146
Symmetry: No. 221


This record from Alexandria via LeMat-Bulk describes crystalline AlTcSb2 at its relaxed geometry. The functional is PBE-GGA.

Cell and atoms, written as POSCAR:
```
AlTcSb2
1.0
-1.478 1.458 -2.726
-4.060 0.506 2.472
1.454 4.297 1.509
Sb Al Tc
2 1 1
direct
0.000 0.500 0.500
0.000 0.000 0.000
0.500 0.000 0.500
0.500 0.500 0.000
```

Symmetry: No. 123
E_form (uncorrected), meV per atom: 444


This record from Alexandria via LeMat-Bulk describes crystalline CaPrNi at its relaxed geometry. The functional is PBE-GGA.

Cell and atoms, written as POSCAR:
```
CaPrNi
1.0
5.634 0.000 0.000
2.817 5.402 0.000
2.817 0.000 10.371
Pr Ca Ni
4 4 4
direct
0.409 0.000 0.182
0.341 0.500 0.318
0.591 0.000 0.818
0.159 0.500 0.682
0.910 0.181 0.500
0.160 0.681 0.000
0.840 0.319 0.000
0.590 0.819 0.500
0.874 0.500 0.252
0.876 0.000 0.248
0.124 0.000 0.752
0.626 0.500 0.748
```

Polymorph energy (0 for the lowest one), meV/atom: 90
Symmetry: No. 70


This record from Alexandria via LeMat-Bulk describes crystalline NdYHoLu at its relaxed geometry. The functional is PBE-GGA.

Cell and atoms, written as POSCAR:
```
NdYHoLu
1.0
5.674 0.000 0.000
2.837 4.914 0.000
2.837 1.638 4.633
Nd Y Lu Ho
1 1 1 1
direct
0.750 0.750 0.750
0.250 0.250 0.250
0.500 0.500 0.500
0.000 0.000 0.000
```

Calculated total energy, eV/atom: -4.97
Symmetry: No. 216


This record from Alexandria via LeMat-Bulk describes crystalline PrErIn2 at its relaxed geometry. The functional is PBE-GGA.

Cell and atoms, written as POSCAR:
```
PrErIn2
1.0
-2.121 -1.272 2.902
2.547 -2.763 0.650
3.779 4.609 4.783
In Er Pr
2 1 1
direct
0.000 0.000 0.233
0.000 0.000 0.767
0.500 0.500 0.000
0.500 0.500 0.500
```

Polymorph energy (0 for the lowest one), meV/atom: 0
Symmetry: No. 123


This record from Alexandria via LeMat-Bulk describes crystalline HfZrSc14 at its relaxed geometry. The functional is PBE-GGA.

Cell and atoms, written as POSCAR:
```
HfZrSc14
1.0
-1.014 2.762 -5.907
-4.990 -0.635 4.272
2.197 9.234 3.939
Sc Zr Hf
14 1 1
direct
0.166 0.335 0.755
0.333 0.667 0.500
0.168 0.832 0.247
0.665 0.834 0.755
0.168 0.832 0.753
0.332 0.169 0.000
0.668 0.332 0.248
0.665 0.834 0.245
0.668 0.332 0.752
0.166 0.335 0.245
0.333 0.167 0.500
0.833 0.667 0.500
0.833 0.167 0.500
0.831 0.668 0.000
0.834 0.166 0.000
0.334 0.666 0.000
```

Calculated total energy, eV/atom: -6.70
Symmetry: No. 38


This record from Alexandria via LeMat-Bulk describes crystalline Tb3Pm3HoTe8 at its relaxed geometry. The functional is PBE-GGA.

Cell and atoms, written as POSCAR:
```
Tb3Pm3HoTe8
1.0
-5.536 -4.636 5.010
8.576 0.158 1.913
-4.912 7.210 1.244
Pm Te Tb Ho
3 8 3 1
direct
0.500 0.500 0.000
0.000 0.000 0.000
0.000 0.500 0.000
0.748 0.496 0.253
0.748 0.005 0.253
0.257 0.005 0.253
0.252 0.995 0.747
0.252 0.505 0.257
0.743 0.995 0.747
0.748 0.495 0.743
0.252 0.504 0.747
0.000 0.500 0.500
0.500 0.500 0.500
0.500 0.000 0.500
0.000 0.000 0.500
```

Symmetry: No. 166
E_form (uncorrected), meV per atom: -1409


This record from Alexandria via LeMat-Bulk describes crystalline BaTePCl2 at its relaxed geometry. The functional is PBE-GGA.

Cell and atoms, written as POSCAR:
```
BaTePCl2
1.0
5.569 0.000 0.000
0.000 5.569 0.000
0.000 0.000 5.093
Cl Ba P Te
2 1 1 1
direct
0.000 0.500 0.000
0.500 0.000 0.000
0.500 0.500 0.500
0.000 0.000 0.500
0.000 0.000 0.000
```

Polymorph energy (0 for the lowest one), meV/atom: 0
Symmetry: No. 123
E_form (uncorrected), meV per atom: -657


This record from Alexandria via LeMat-Bulk describes crystalline TbPr5SmTm2 at its relaxed geometry. The functional is PBE-GGA.

Cell and atoms, written as POSCAR:
```
TbPr5SmTm2
1.0
-4.427 0.604 3.506
-3.307 -6.665 -7.629
3.469 -8.390 5.825
Pr Sm Tm Tb
10 2 4 2
direct
0.481 0.963 0.743
0.519 0.037 0.243
0.704 0.408 0.204
0.719 0.439 0.812
0.984 0.969 0.520
0.296 0.592 0.704
0.016 0.031 0.020
0.281 0.561 0.312
0.613 0.225 0.524
0.387 0.775 0.024
0.199 0.399 0.010
0.801 0.601 0.510
0.885 0.769 0.812
0.111 0.222 0.740
0.889 0.778 0.240
0.115 0.231 0.312
0.590 0.181 0.959
0.410 0.819 0.459
```

Calculated total energy, eV/atom: -4.54
Symmetry: No. 36


This record from Alexandria via LeMat-Bulk describes crystalline CrTc2C at its relaxed geometry. The functional is PBE-GGA.

Cell and atoms, written as POSCAR:
```
CrTc2C
1.0
2.865 0.000 0.000
1.433 2.481 0.000
1.433 0.827 6.871
Tc Cr C
2 1 1
direct
0.730 0.730 0.810
0.270 0.270 0.190
0.500 0.500 0.500
0.000 0.000 0.000
```

Calculated total energy, eV/atom: -9.55
Symmetry: No. 166


This record from Alexandria via LeMat-Bulk describes crystalline HoTm3Mg at its relaxed geometry. The functional is PBE-GGA.

Cell and atoms, written as POSCAR:
```
HoTm3Mg
1.0
5.407 0.000 0.000
0.000 8.771 -3.320
0.000 -0.916 6.424
Ho Mg Tm
2 2 6
direct
0.250 0.932 0.555
0.750 0.068 0.445
0.750 0.253 0.007
0.250 0.747 0.993
0.750 0.647 0.187
0.750 0.441 0.566
0.750 0.856 0.814
0.250 0.559 0.434
0.250 0.144 0.186
0.250 0.353 0.813
```

Polymorph energy (0 for the lowest one), meV/atom: 0
Symmetry: No. 11